TaReAs after structural relaxation. Source: Alexandria via LeMat-Bulk, functional GGA-PBEsol.

Lattice parameters (Å, degrees): 3.046 3.886 8.026 90.00 90.00 90.00
Element x y z (fractional)
Ta (0.000, 0.000, 0.000)
Ta (0.500, 0.500, 0.500)
Re (0.000, 0.000, 0.341)
Re (0.500, 0.500, 0.841)
As (0.000, 0.000, 0.673)
As (0.500, 0.500, 0.173)

Output
The energy above the most stable polymorph in this dataset comes out at 155.1 meV/atom. Its formation energy from the elements is 0.16 eV/atom. For the total moment, the calculation gives 0.00 μB/f.u.